CaIrW2 | PBE-GGA | relaxed

Lattice parameters (Å, degrees): 5.351 9.430 2.756 90.00 90.00 90.00
Fractional coordinates of all 8 atoms:
Ca 0.000 0.000 0.000
Ca 0.500 0.500 0.000
Ir 0.000 0.500 0.000
Ir 0.500 0.000 0.000
W 0.250 0.250 0.500
W 0.250 0.750 0.500
W 0.750 0.250 0.500
W 0.750 0.750 0.500

Calculated values
VASP energy: -68.65 eV per cell
Mass density: 14.3 Mg/m³
Formation energy from the elements: 236 kJ/mol of formula units
Size of the total moment: 0.00 μB per formula unit
E above lowest polymorph: 0.318 eV/atom